i) LiGePCl2: relaxed, PBE.

CIF file:
```
data_LiGePCl2
_chemical_formula_sum 'Li1 Ge1 P1 Cl2'
_cell_length_a 5.2314
_cell_length_b 5.2314
_cell_length_c 4.7276
_cell_angle_alpha 90.00
_cell_angle_beta 90.00
_cell_angle_gamma 90.00
_space_group_name_H-M_alt 'P 4/m m m'
_space_group_IT_number 123
_space_group_name_Hall '-P 4 2'
loop_
_atom_site_label
_atom_site_type_symbol
_atom_site_fract_x
_atom_site_fract_y
_atom_site_fract_z
Li1 Li 0.0000 0.0000 0.0000
Ge1 Ge 0.5000 0.5000 0.5000
P1 P 0.5000 0.5000 0.0000
Cl1 Cl 0.0000 0.5000 0.5000
```

Summary:
The calculation puts the calculated volume at 25.9 A^3/atom. The calculation puts the spin magnetization at 0.20 μB/atom.

ii) LiGePCl2: relaxed, PBE.

CIF file:
```
data_LiGePCl2
_chemical_formula_sum 'Li1 Ge1 P1 Cl2'
_cell_length_a 4.4497
_cell_length_b 4.4497
_cell_length_c 5.2267
_cell_angle_alpha 90.00
_cell_angle_beta 90.00
_cell_angle_gamma 90.00
_space_group_name_H-M_alt 'P 4/m m m'
_space_group_IT_number 123
_space_group_name_Hall '-P 4 2'
loop_
_atom_site_label
_atom_site_type_symbol
_atom_site_fract_x
_atom_site_fract_y
_atom_site_fract_z
Li1 Li 0.0000 0.0000 0.0000
Ge1 Ge 0.5000 0.5000 0.5000
P1 P 0.0000 0.0000 0.5000
Cl1 Cl 0.0000 0.5000 0.0000
```

Summary:
The calculation puts the calculated volume at 20.7 A^3/atom. The calculation puts the spin magnetization at 0.23 μB/atom.

Relative calculated energies, zero for the most stable structure, unit meV/atom: i) 0; ii) 204.

i) LiGePbCl2: relaxed, PBE.

CIF file:
```
data_LiGePbCl2
_chemical_formula_sum 'Li1 Ge1 Pb1 Cl2'
_cell_length_a 5.5894
_cell_length_b 5.5894
_cell_length_c 5.7554
_cell_angle_alpha 90.00
_cell_angle_beta 90.00
_cell_angle_gamma 90.00
_space_group_name_H-M_alt 'P 4/m m m'
_space_group_IT_number 123
_space_group_name_Hall '-P 4 2'
loop_
_atom_site_label
_atom_site_type_symbol
_atom_site_fract_x
_atom_site_fract_y
_atom_site_fract_z
Li1 Li 0.0000 0.0000 0.0000
Ge1 Ge 0.5000 0.5000 0.0000
Pb1 Pb 0.0000 0.0000 0.5000
Cl1 Cl 0.0000 0.5000 0.5000
```

Summary:
The calculation puts the calculated volume at 36.0 A^3/atom. The calculation puts the spin magnetization at 0.22 μB/atom.

ii) LiGePbCl2: relaxed, PBE.

CIF file:
```
data_LiGePbCl2
_chemical_formula_sum 'Li1 Ge1 Pb1 Cl2'
_cell_length_a 5.1345
_cell_length_b 5.1345
_cell_length_c 5.8361
_cell_angle_alpha 90.00
_cell_angle_beta 90.00
_cell_angle_gamma 90.00
_space_group_name_H-M_alt 'P 4/m m m'
_space_group_IT_number 123
_space_group_name_Hall '-P 4 2'
loop_
_atom_site_label
_atom_site_type_symbol
_atom_site_fract_x
_atom_site_fract_y
_atom_site_fract_z
Li1 Li 0.0000 0.0000 0.0000
Ge1 Ge 0.5000 0.5000 0.5000
Pb1 Pb 0.5000 0.5000 0.0000
Cl1 Cl 0.0000 0.5000 0.5000
```

Summary:
The calculation puts the calculated volume at 30.8 A^3/atom. The calculation puts the spin magnetization at 0.00 μB/atom.

Relative calculated energies, zero for the most stable structure, unit meV/atom: i) 323; ii) 0.